The following is a DFT calculation (GGA-PBE) of crystalline Ta2C at its relaxed geometry.

V   41.9 Å³ per cell
Size of the total moment   0.00 Bohr magnetons per cell
DFT total energy   -11.580 eV/atom

Cell lengths 3.1217, 3.1217, 4.9631 Å; angles 90.00, 90.00, 120.00 degrees
Atoms (fractional coordinates):
C 0.0000 0.0000 0.0000
Ta 0.3334 0.6667 0.2540
Ta 0.6666 0.3333 0.7460